1.
Below is a relaxed Zr2SiI crystal, with properties calculated at the GGA-PBE level.

POSCAR file:
```
Zr2SiI
1.0
0.000 3.469 3.469
3.469 0.000 3.469
3.469 3.469 0.000
Si I Zr
1 1 2
Cartesian
0.000 0.000 0.000
3.469 3.469 3.469
5.204 5.204 5.204
1.735 1.735 1.735
```

Results
- Energy: -6.228 eV/atom
- ΔE_f (raw): -0.84 eV/f.u.
- Relative energy among the computed polymorphs: 0 meV/atom
- Symmetry: Fm-3m
- M_tot: 0.0 μB per formula unit

2.
Below is a relaxed ZrSiI crystal, with properties calculated at the GGA-PBE level.

POSCAR file:
```
ZrSiI
1.0
3.893 0.000 0.000
0.000 3.661 0.000
-1.860 0.000 11.392
I Zr Si
2 2 2
Cartesian
1.017 2.746 1.873
1.016 0.915 9.519
1.017 0.915 4.182
1.016 2.746 7.210
2.963 2.746 4.881
-0.930 0.915 6.511
```

Results
- Energy: -5.867 eV/atom
- ΔE_f (raw): -2.08 eV/f.u.
- Symmetry: P2_1/m
- M_tot: 0.0 μB per formula unit

3.
Below is a relaxed ZrSiI crystal, with properties calculated at the GGA-PBE level.

POSCAR file:
```
ZrSiI
1.0
-1.091 -3.582 -0.606
1.660 0.071 -3.410
9.173 -1.934 6.395
Si Zr I
2 2 2
Cartesian
5.417 -0.932 1.493
4.041 -2.758 2.895
3.289 -2.113 0.433
6.453 -3.333 1.947
2.098 -3.299 -2.282
7.644 -2.146 4.662
```

Results
- Energy: -5.762 eV/atom
- ΔE_f (raw): -1.77 eV/f.u.
- Symmetry: P-1
- M_tot: 0.0 μB per formula unit

4.
Below is a relaxed ZrSiI crystal, with properties calculated at the GGA-PBE level.

POSCAR file:
```
ZrSiI
1.0
11.735 0.000 0.004
0.000 4.032 0.000
-1.029 0.000 6.814
Si I Zr
4 4 4
Cartesian
5.694 2.016 1.143
5.012 2.016 5.676
5.180 0.000 4.550
5.527 0.000 2.269
1.859 0.000 1.730
8.848 0.000 5.089
1.344 2.016 5.137
9.362 2.016 1.682
3.248 0.000 6.575
6.944 2.016 3.651
3.762 2.016 3.168
7.459 0.000 0.244
```

Results
- Energy: -5.877 eV/atom
- ΔE_f (raw): -2.11 eV/f.u.
- Symmetry: C2/m
- M_tot: 0.0 μB per formula unit

5.
Below is a relaxed ZrSiI crystal, with properties calculated at the GGA-PBE level.

POSCAR file:
```
ZrSiI
1.0
3.658 0.000 0.000
0.000 3.658 0.000
-0.104 0.000 11.419
Zr I Si
2 2 2
Cartesian
2.691 2.743 3.646
0.862 0.914 7.773
2.691 2.743 9.422
0.862 0.914 1.997
0.862 2.743 5.709
2.691 0.914 5.709
```

Results
- Energy: -5.827 eV/atom
- ΔE_f (raw): -1.96 eV/f.u.
- Symmetry: P2_1/m
- M_tot: 0.0 μB per formula unit

6.
Below is a relaxed Zr6SiI14 crystal, with properties calculated at the GGA-PBE level.

POSCAR file:
```
Zr6SiI14
1.0
11.004 -0.043 0.000
-1.027 10.956 0.000
0.000 0.000 13.182
I Zr Si
28 12 2
Cartesian
6.504 1.074 9.886
8.447 9.239 9.682
1.981 8.206 0.000
9.489 4.339 3.295
1.104 4.213 6.723
-0.431 8.621 3.296
3.459 3.783 10.090
1.352 10.572 9.886
5.584 3.121 3.295
3.884 1.244 0.132
8.625 0.341 3.296
0.892 3.980 0.132
1.981 8.207 6.591
6.093 9.669 13.049
5.880 9.436 6.459
0.489 6.574 9.886
4.393 7.791 9.886
10.409 2.292 9.886
4.097 1.476 6.723
3.473 9.838 3.295
2.610 5.840 3.295
7.997 2.706 6.591
9.086 6.933 13.049
8.873 6.700 6.459
1.530 1.674 3.500
6.519 7.130 3.091
7.996 2.707 0.000
7.367 5.072 9.886
3.565 3.900 5.221
0.986 10.444 1.526
5.679 3.498 8.117
-0.336 8.997 11.656
4.299 7.415 5.065
2.976 5.969 8.117
10.314 1.915 1.526
7.001 4.944 5.065
6.412 7.013 7.960
8.991 0.469 11.656
8.554 9.356 1.369
1.423 1.557 11.812
0.000 0.000 0.000
4.989 5.456 6.591
```

Results
- Energy: -4.711 eV/atom
- ΔE_f (raw): -20.52 eV/f.u.
- Symmetry: Cmce
- M_tot: 0.0 μB per formula unit